# 1
ScZn: relaxed, PBE.

Summary:
- E_form (eV per atom) = -0.209

a = 9.3092 Å, b = 3.4764 Å, c = 4.7007 Å
α = 90.00°, β = 90.00°, γ = 90.00°
Atoms (fractional coordinates):
Sc: 0.4945 0.0000 0.0000
Sc: 0.1864 0.5000 0.0000
Sc: 0.7303 0.0000 0.5000
Sc: 0.4222 0.5000 0.5000
Zn: 0.9408 0.0000 0.0000
Zn: 0.7330 0.5000 0.0000
Zn: 0.1837 0.0000 0.5000
Zn: 0.9759 0.5000 0.5000


# 2
SrHfRe: relaxed, PBE.

Summary:
- ΔE to the lowest computed polymorph (eV/atom) = 0.000

a = 4.7551 Å, b = 4.7551 Å, c = 4.7551 Å
α = 60.00°, β = 60.00°, γ = 60.00°
Atoms (fractional coordinates):
Hf: 0.2500 0.2500 0.2500
Re: 0.0000 0.0000 0.0000
Sr: 0.7500 0.7500 0.7500


# 3
PrGdBBr: relaxed, PBE.

Summary:
- ΔE to the lowest computed polymorph (eV/atom) = 0.002

a = 3.9725 Å, b = 3.9725 Å, c = 14.6609 Å
α = 90.00°, β = 90.00°, γ = 120.00°
Atoms (fractional coordinates):
B: 0.0000 0.0000 0.2402
B: 0.0000 0.0000 0.7598
Br: 0.6667 0.3333 0.0000
Br: 0.3333 0.6667 0.5000
Gd: 0.3333 0.6667 0.1498
Gd: 0.3333 0.6667 0.8502
Pr: 0.6667 0.3333 0.3404
Pr: 0.6667 0.3333 0.6596


| no. | spin magnetization (μB per formula unit) |
| --- | --- |
| 1 | 0.015 |
| 2 | 0.002 |
| 3 | 0.000 |